No. 1
YCoNiH2: relaxed, PBE-GGA.

Summary:
D(E_F): 0.6743 states/eV per atom
energy: -5.14 eV/atom

Unit cell a=3.679 b=3.679 c=4.459 alpha=90.00 beta=90.00 gamma=90.00
Fractional positions:
Y 0.000 0.000 0.000
Co 0.500 0.500 0.500
Ni 0.500 0.500 0.000
H 0.000 0.500 0.500
H 0.500 0.000 0.500


No. 2
ZnCoNi2H: relaxed, PBE-GGA.

Summary:
E above lowest polymorph: 4.77 eV/f.u.
D(E_F): 1.3587 states/eV per atom
energy: -3.78 eV/atom

Unit cell a=4.549 b=4.549 c=2.885 alpha=90.00 beta=90.00 gamma=90.00
Fractional positions:
Zn 0.000 0.000 0.000
Co 0.500 0.500 0.500
Ni 0.000 0.500 0.000
Ni 0.500 0.000 0.000
H 0.000 0.000 0.500


No. 3
ZnCoNi2H: relaxed, PBE-GGA.

Summary:
E above lowest polymorph: 0.00 eV/f.u.
D(E_F): 1.0236 states/eV per atom
energy: -4.74 eV/atom

Unit cell a=3.613 b=3.613 c=3.671 alpha=90.00 beta=90.00 gamma=90.00
Fractional positions:
Zn 0.000 0.000 0.000
Co 0.500 0.500 0.000
Ni 0.000 0.500 0.500
Ni 0.500 0.000 0.500
H 0.500 0.500 0.500


No. 4
ZnCoNi2H: relaxed, PBE-GGA.

Summary:
E above lowest polymorph: 0.72 eV/f.u.
D(E_F): 0.7139 states/eV per atom
energy: -4.59 eV/atom

Unit cell a=3.534 b=3.534 c=3.909 alpha=90.00 beta=90.00 gamma=90.00
Fractional positions:
Zn 0.000 0.000 0.000
Co 0.500 0.500 0.000
Ni 0.000 0.500 0.500
Ni 0.500 0.000 0.500
H 0.000 0.000 0.500


No. 5
Zn2CoNiH: relaxed, PBE-GGA.

Summary:
D(E_F): 0.3668 states/eV per atom
energy: -3.76 eV/atom

Unit cell a=4.039 b=4.039 c=3.150 alpha=90.00 beta=90.00 gamma=90.00
Fractional positions:
Zn 0.000 0.500 0.000
Zn 0.500 0.000 0.000
Co 0.000 0.000 0.500
Ni 0.500 0.500 0.500
H 0.000 0.000 0.000


No. 6
Zr2CoNiH: relaxed, PBE-GGA.

Summary:
E above lowest polymorph: 0.04 eV/f.u.
D(E_F): 0.8822 states/eV per atom
energy: -6.97 eV/atom

Unit cell a=4.509 b=4.509 c=3.340 alpha=90.00 beta=90.00 gamma=90.00
Fractional positions:
Zr 0.000 0.500 0.000
Zr 0.500 0.000 0.000
Co 0.000 0.000 0.500
Ni 0.500 0.500 0.500
H 0.500 0.500 0.000


No. 7
ZrCoNi2H: relaxed, PBE-GGA.

Summary:
E above lowest polymorph: 0.27 eV/f.u.
D(E_F): 0.2152 states/eV per atom
energy: -6.36 eV/atom

Unit cell a=3.634 b=3.634 c=4.172 alpha=90.00 beta=90.00 gamma=90.00
Fractional positions:
Zr 0.000 0.000 0.000
Co 0.500 0.500 0.000
Ni 0.000 0.500 0.500
Ni 0.500 0.000 0.500
H 0.000 0.000 0.500


No. 8
ZrCo2NiH: relaxed, PBE-GGA.

Summary:
E above lowest polymorph: 0.28 eV/f.u.
D(E_F): 0.5838 states/eV per atom
energy: -6.57 eV/atom

Unit cell a=3.697 b=3.697 c=4.012 alpha=90.00 beta=90.00 gamma=90.00
Fractional positions:
Zr 0.000 0.000 0.000
Co 0.000 0.500 0.500
Co 0.500 0.000 0.500
Ni 0.500 0.500 0.000
H 0.000 0.000 0.500


No. 9
ZrCoNi2H: relaxed, PBE-GGA.

Summary:
E above lowest polymorph: 0.00 eV/f.u.
D(E_F): 0.1007 states/eV per atom
energy: -6.41 eV/atom

Unit cell a=3.731 b=3.731 c=3.887 alpha=90.00 beta=90.00 gamma=90.00
Fractional positions:
Zr 0.000 0.000 0.000
Co 0.500 0.500 0.000
Ni 0.000 0.500 0.500
Ni 0.500 0.000 0.500
H 0.500 0.500 0.500


No. 10
Zr2CoNiH: relaxed, PBE-GGA.

Summary:
E above lowest polymorph: 0.00 eV/f.u.
D(E_F): 1.1514 states/eV per atom
energy: -6.98 eV/atom

Unit cell a=4.506 b=4.506 c=3.351 alpha=90.00 beta=90.00 gamma=90.00
Fractional positions:
Zr 0.000 0.500 0.000
Zr 0.500 0.000 0.000
Co 0.000 0.000 0.500
Ni 0.500 0.500 0.500
H 0.000 0.000 0.000


No. 11
ZrCo2NiH: relaxed, PBE-GGA.

Summary:
E above lowest polymorph: 0.00 eV/f.u.
D(E_F): 0.5384 states/eV per atom
energy: -6.63 eV/atom

Unit cell a=3.806 b=3.806 c=3.706 alpha=90.00 beta=90.00 gamma=90.00
Fractional positions:
Zr 0.000 0.000 0.000
Co 0.000 0.500 0.500
Co 0.500 0.000 0.500
Ni 0.500 0.500 0.000
H 0.500 0.500 0.500


No. 12
NpCoH3: relaxed, PBE-GGA.

Summary:
D(E_F): 1.3100 states/eV per atom
energy: -6.13 eV/atom

Unit cell a=5.788 b=4.742 c=8.775 alpha=90.00 beta=130.93 gamma=90.00
Fractional positions:
Np 0.159 0.250 0.168
Np 0.159 0.250 0.668
Np 0.841 0.750 0.332
Np 0.841 0.750 0.832
Co 0.413 0.750 0.421
Co 0.413 0.750 0.921
Co 0.587 0.250 0.079
Co 0.587 0.250 0.579
H 0.104 0.750 0.184
H 0.104 0.750 0.684
H 0.360 0.514 0.044
H 0.360 0.986 0.544
H 0.362 0.515 0.546
H 0.362 0.985 0.046
H 0.638 0.015 0.954
H 0.638 0.485 0.454
H 0.640 0.014 0.456
H 0.640 0.486 0.956
H 0.896 0.250 0.316
H 0.896 0.250 0.816